1.
Entry from Alexandria via LeMat-Bulk: a relaxed structure of Cd3PtC (PBE).

The relative energy among the computed polymorphs comes out at 0.0 kJ/mol of atoms.

The structure belongs to space group Pm-3m (No. 221); the cell edges are 4.5096, 4.5096 and 4.5096 Å and the angles 90.00°, 90.00° and 90.00°. Symmetry generates all atoms from Cd at (0.0000, 0.0000, 0.5000), Pt at (0.5000, 0.5000, 0.5000) and C at (0.0000, 0.0000, 0.0000).

=====

2.
Entry from Alexandria via LeMat-Bulk: a relaxed structure of PaAgGe2 (PBE).

The relative energy among the computed polymorphs comes out at 35.5 kJ/mol of atoms.

The structure belongs to space group P4/mmm (No. 123); the cell edges are 3.3505, 3.3505 and 7.2084 Å and the angles 90.00°, 90.00° and 90.00°. Symmetry generates all atoms from Pa at (0.0000, 0.0000, 0.0000), Ag at (0.0000, 0.0000, 0.5000) and Ge at (0.5000, 0.5000, 0.2706).

=====

3.
Entry from Alexandria via LeMat-Bulk: a relaxed structure of CsRh (PBE).

The structure belongs to space group P6_3/mmc (No. 194); the cell edges are 8.7248, 8.7248 and 5.6122 Å and the angles 90.00°, 90.00° and 120.00°. Symmetry generates all atoms from Cs at (0.1758, 0.3517, 0.2500) and Rh at (0.1342, 0.5671, 0.7500).

=====

How do the records compare in DFT total energy? In the order shown, they have -2.931; -5.373; -3.342 eV/atom.
How do the records compare in Fermi-level density of states? In the order shown, they have 1.11; 4.96; 12.60 states/eV per cell.